VASP calculation (GGA-PBE) on YCoOs after structural relaxation.

Computed properties:
calculated formation energy = 0.388 eV/atom
N(E_F) = 2.4 states/eV per cell
ΔE to the lowest computed polymorph = 639 meV per atom
V = 19.1 Å³/atom

abc: 4.327 4.327 4.327
angles: 60.00 60.00 60.00
Site moments in Bohr magnetons follow the coordinates.
Fractional coordinates of all 3 atoms:
Co 0.750 0.750 0.750  1.48
Os 0.000 0.000 0.000  1.04
Y 0.500 0.500 0.500  -0.07

***

VASP calculation (GGA-PBE) on Nb3InH after structural relaxation.

Computed properties:
N(E_F) = 5.8 states/eV per cell
E = -7.338 eV per atom
V = 15.9 Å³/atom

abc: 5.542 4.755 7.125
angles: 90.00 71.33 115.43
Fractional coordinates of all 10 atoms:
H 0.103 0.970 0.230
H 0.319 0.579 0.428
Nb 0.179 0.135 0.953
Nb 0.243 0.667 0.704
Nb 0.242 0.655 0.186
Nb 0.711 0.896 0.829
Nb 0.711 0.900 0.329
Nb 0.179 0.123 0.471
In 0.709 0.394 0.077
In 0.712 0.396 0.580

***

VASP calculation (GGA-PBE) on Mn2Tc after structural relaxation.

Computed properties:
calculated formation energy = -0.068 eV/atom
N(E_F) = 18.4 states/eV per cell
ΔE to the lowest computed polymorph = 14 meV per atom
V = 12.0 Å³/atom

abc: 4.661 4.661 15.276
angles: 90.00 90.00 120.00
Fractional coordinates of all 24 atoms:
Mn 0.333 0.667 0.871
Mn 0.667 0.333 0.129
Mn 0.667 0.333 0.371
Mn 0.333 0.667 0.629
Mn 0.000 0.500 0.000
Mn 0.500 0.000 0.000
Mn 0.500 0.500 0.000
Mn 0.000 0.500 0.500
Mn 0.500 0.000 0.500
Mn 0.500 0.500 0.500
Mn 0.682 0.841 0.750
Mn 0.159 0.318 0.750
Mn 0.159 0.841 0.750
Mn 0.318 0.159 0.250
Mn 0.841 0.682 0.250
Mn 0.841 0.159 0.250
Tc 0.000 0.000 0.910
Tc 0.000 0.000 0.090
Tc 0.000 0.000 0.410
Tc 0.000 0.000 0.590
Tc 0.333 0.667 0.157
Tc 0.667 0.333 0.843
Tc 0.667 0.333 0.657
Tc 0.333 0.667 0.343

***

VASP calculation (GGA-PBE) on LaFeBr3 after structural relaxation.

Computed properties:
N(E_F) = 6.8 states/eV per cell
V = 25.5 Å³/atom
E_form (uncorrected) = -0.582 eV per atom

abc: 5.036 5.036 5.036
angles: 90.00 90.00 90.00
Site moments in Bohr magnetons follow the coordinates.
Fractional coordinates of all 5 atoms:
Fe 0.000 0.000 0.000  2.80
Br 0.000 0.500 0.000  0.06
Br 0.000 0.000 0.500  0.04
Br 0.500 0.000 0.000  0.06
La 0.500 0.500 0.500  -0.49

***

VASP calculation (GGA-PBE) on Mn2SiAs after structural relaxation.

Computed properties:
N(E_F) = 3.0 states/eV per cell
V = 13.6 Å³/atom
E_form (uncorrected) = 0.034 eV per atom

abc: 4.481 4.481 4.481
angles: 133.77 120.61 78.41
Site moments in Bohr magnetons follow the coordinates.
Fractional coordinates of all 4 atoms:
As 0.250 0.750 0.500  -0.05
Mn 0.985 0.985 0.000  2.51
Mn 0.515 0.515 0.000  2.51
Si 0.750 0.250 0.500  -0.10

***

VASP calculation (GGA-PBE) on Mg2Al2Ga after structural relaxation.

Computed properties:
calculated formation energy = 0.244 eV/atom
N(E_F) = 2.0 states/eV per cell
ΔE to the lowest computed polymorph = 278 meV per atom
V = 22.3 Å³/atom

abc: 4.197 4.197 6.984
angles: 72.52 72.52 90.00
Fractional coordinates of all 5 atoms:
Mg 0.750 0.250 0.500
Mg 0.250 0.750 0.500
Al 0.402 0.402 0.196
Al 0.598 0.598 0.804
Ga 0.000 0.000 0.000